(1)
Here is a relaxed LiTl2W crystal from the Alexandria database. Energies are from GGA-PBE.

Cell and atoms, written as POSCAR:
```
LiTl2W
1.0
3.3167 0.0000 0.0000
0.0000 3.3167 0.0000
0.0000 0.0000 6.9920
W Tl Li
1 2 1
Direct
0.5000 0.5000 0.2500
0.0000 0.0000 0.9886
0.0000 0.0000 0.5114
0.5000 0.5000 0.7500
```

Output
total energy: -4.273 eV per atom
space-group type: P4/mmm (123)
total magnetic moment: 0.80 μB/f.u.
formation energy from the elements: 2.5 eV/f.u.
energy relative to the lowest polymorph listed for this composition: 144 meV per atom

(2)
Here is a relaxed Al3Ga6W crystal from the Alexandria database. Energies are from GGA-PBE.

Cell and atoms, written as POSCAR:
```
Al3Ga6W
1.0
-4.3899 -4.7434 3.0006
2.4826 -5.9661 -3.0027
4.1950 -2.3154 5.2740
Ga Al W
12 6 2
Direct
0.5777 0.5820 0.1177
0.0756 0.3472 0.0694
0.4180 0.8823 0.4223
0.9244 0.6528 0.9306
0.4223 0.4180 0.8823
0.9306 0.9244 0.6528
0.1177 0.5777 0.5820
0.5820 0.1177 0.5777
0.0694 0.0756 0.3472
0.6528 0.9306 0.9244
0.8823 0.4223 0.4180
0.3472 0.0694 0.0756
0.1923 0.1890 0.6554
0.1890 0.6554 0.1923
0.8110 0.3446 0.8077
0.8077 0.8110 0.3446
0.3446 0.8077 0.8110
0.6554 0.1923 0.1890
0.5000 0.5000 0.5000
0.0000 0.0000 0.0000
```

Output
total energy: -4.107 eV per atom
space-group type: R-3 (148)
total magnetic moment: 0.00 μB/f.u.
formation energy from the elements: 1.3 eV/f.u.

(3)
Here is a relaxed GaW3I crystal from the Alexandria database. Energies are from GGA-PBE.

Cell and atoms, written as POSCAR:
```
GaW3I
1.0
-3.2335 -2.1820 -2.6390
2.8713 0.2500 -3.7248
1.8657 -4.1662 1.1587
W I Ga
3 1 1
Direct
0.0000 0.5000 0.0000
0.0000 0.0000 0.5000
0.5000 0.0000 0.0000
0.5000 0.5000 0.5000
0.0000 0.0000 0.0000
```

Output
total energy: -6.448 eV per atom
space-group type: Pm-3m (221)
total magnetic moment: 0.00 μB/f.u.
energy relative to the lowest polymorph listed for this composition: 0 meV per atom

(4)
Here is a relaxed Ac2NdRh crystal from the Alexandria database. Energies are from GGA-PBE.

Cell and atoms, written as POSCAR:
```
Ac2NdRh
1.0
-3.4882 -2.0503 -0.9281
-2.1462 -1.9080 2.9976
-7.0537 6.8185 2.1642
Rh Ac Nd
1 2 1
Direct
0.6662 0.6662 0.0015
0.0594 0.0594 0.8219
0.2743 0.2743 0.1770
0.5001 0.5001 0.4997
```

Output
total energy: -5.377 eV per atom
space-group type: R3m (160)
total magnetic moment: 0.41 μB/f.u.
formation energy from the elements: -1.2 eV/f.u.
energy relative to the lowest polymorph listed for this composition: 108 meV per atom

(5)
Here is a relaxed K2Sb2P crystal from the Alexandria database. Energies are from GGA-PBE.

Cell and atoms, written as POSCAR:
```
K2Sb2P
1.0
4.9339 0.0000 0.0000
0.0000 4.9339 0.0000
2.4670 2.4670 7.2063
K P Sb
2 1 2
Direct
0.2500 0.7500 0.5000
0.7500 0.2500 0.5000
0.0000 0.0000 0.0000
0.4094 0.4094 0.1812
0.5906 0.5906 0.8188
```

Output
total energy: -2.614 eV per atom
space-group type: I4/mmm (139)
total magnetic moment: 0.00 μB/f.u.
energy relative to the lowest polymorph listed for this composition: 685 meV per atom

(6)
Here is a relaxed PmPaSi2O8 crystal from the Alexandria database. Energies are from GGA-PBE.

Cell and atoms, written as POSCAR:
```
PmPaSi2O8
1.0
-3.6793 3.3407 3.1596
-1.6625 -5.5852 -0.8494
5.0450 -0.2209 3.0296
O Pm Si Pa
8 1 2 1
Direct
0.3239 0.1507 0.8268
0.9138 0.5982 0.6844
0.5028 0.6761 0.8268
0.8493 0.6761 0.1732
0.4018 0.0862 0.3156
0.7705 0.0862 0.6844
0.3239 0.4972 0.1732
0.9138 0.2295 0.3156
0.2500 0.7500 0.5000
0.7500 0.2500 0.5000
0.5000 0.5000 0.0000
0.0000 0.0000 0.0000
```

Output
total energy: -8.616 eV per atom
space-group type: I-4m2 (119)
total magnetic moment: 0.00 μB/f.u.

(7)
Here is a relaxed Tl2MoCl7 crystal from the Alexandria database. Energies are from GGA-PBE.

Cell and atoms, written as POSCAR:
```
Tl2MoCl7
1.0
7.1512 0.0000 3.4875
3.3657 9.1364 2.1742
-0.0683 -1.3431 9.2157
Cl Mo Tl
14 2 4
Direct
0.1467 0.9954 0.6652
0.3415 0.7500 0.2500
0.7801 0.1936 0.0108
0.1504 0.2420 0.9234
0.1927 0.4954 0.1652
0.8533 0.0046 0.3348
0.3158 0.2580 0.5766
0.8496 0.7580 0.0766
0.8073 0.5046 0.8348
0.2199 0.8064 0.9892
0.0155 0.6936 0.5108
0.6842 0.7420 0.4234
0.9845 0.3064 0.4892
0.6585 0.2500 0.7500
0.9728 0.2500 0.7500
0.0272 0.7500 0.2500
0.7405 0.4727 0.2016
0.5853 0.9727 0.7016
0.4147 0.0273 0.2984
0.2595 0.5273 0.7984
```

Output
total energy: -3.666 eV per atom
space-group type: C2/c (15)
total magnetic moment: 0.98 μB/f.u.

(8)
Here is a relaxed Sm5Tl3Ga crystal from the Alexandria database. Energies are from GGA-PBE.

Cell and atoms, written as POSCAR:
```
Sm5Tl3Ga
1.0
-6.2265 -2.4220 0.4356
3.4410 -8.8256 0.1144
-1.2591 4.6989 8.1290
Sm Ga Tl
10 2 6
Direct
0.7500 0.0000 0.7296
0.5000 0.3333 0.6667
0.2500 0.2704 0.0000
0.0000 0.3333 0.6667
0.2500 0.7296 0.7296
0.0000 0.6667 0.3333
0.7500 0.2704 0.2704
0.7500 0.7296 0.0000
0.5000 0.6667 0.3333
0.2500 0.0000 0.2704
0.0000 0.0000 0.0000
0.5000 0.0000 0.0000
0.7500 0.3800 0.0000
0.7500 0.6200 0.6200
0.2500 0.3800 0.3800
0.2500 0.0000 0.6200
0.2500 0.6200 0.0000
0.7500 0.0000 0.3800
```

Output
total energy: -4.144 eV per atom
space-group type: P6_3/mcm (193)
total magnetic moment: 0.00 μB/f.u.
formation energy from the elements: -3.6 eV/f.u.